DySc2Tl3 (GGA-PBE, optimized geometry); M_tot = 0.00 μB/f.u.; raw total energy = -4.3455 eV per atom
1.0
3.633 0.000 0.000
0.000 3.633 0.000
0.000 0.000 11.220
Tl Sc Dy
3 2 1
direct
0.000 0.000 0.319
0.000 0.000 0.000
0.000 0.000 0.681
0.500 0.500 0.841
0.500 0.500 0.159
0.500 0.500 0.500